Compound: Ni2PbW
Source: the Alexandria database
Functional: PBE-GGA
Structure: optimized geometry

a = 6.9587 Å, b = 6.9587 Å, c = 5.5787 Å
α = 90.00°, β = 90.00°, γ = 90.00°
Space group I-42d (No. 122)
Unique sites:
Ni (0.2254, 0.7500, 0.1250) [8 per cell]
Pb (0.0000, 0.0000, 0.5000) [4 per cell]
W (0.0000, 0.0000, 0.0000) [4 per cell]

Calculated values
Its total energy is -6.293 eV/atom. The value obtained for the formation energy is 17.599 kcal/mol of atoms.